# SrZn2GaPd

Crystalline SrZn2GaPd at its relaxed geometry (PBE, Alexandria).

**DOS(E_F)**: 5.8 states/eV per cell
**E above lowest polymorph**: 0 meV/atom
**DFT total energy**: -29.32 eV for the cell shown
**DFT formation energy**: -0.44 eV/atom

Cell and atoms, written as CIF:
```
data_SrZn2GaPd
_chemical_formula_sum 'Sr2 Zn4 Ga2 Pd2'
_cell_length_a 4.429
_cell_length_b 4.517
_cell_length_c 10.346
_cell_angle_alpha 90.00
_cell_angle_beta 90.00
_cell_angle_gamma 90.00
_space_group_name_H-M_alt 'I m m 2'
_space_group_IT_number 44
loop_
_space_group_symop_operation_xyz
'x,y,z'
'-x,-y,z'
'-x,y,z'
'x,-y,z'
'x+1/2,y+1/2,z+1/2'
'-x+1/2,-y+1/2,z+1/2'
'-x+1/2,y+1/2,z+1/2'
'x+1/2,-y+1/2,z+1/2'
loop_
_atom_site_label
_atom_site_type_symbol
_atom_site_fract_x
_atom_site_fract_y
_atom_site_fract_z
Sr1 Sr 0.000 0.000 0.000
Zn1 Zn 0.000 0.000 0.626
Zn2 Zn 0.000 0.500 0.251
Ga1 Ga 0.000 0.000 0.372
Pd1 Pd 0.000 0.500 0.751
```